# 1
Compound: Dy5SnTe4
Source: Alexandria via LeMat-Bulk
Functional: GGA-PBE
Structure: relaxed

The spin magnetization is 0.00 μB/f.u. As for the energy relative to the elements, uncorrected: -1221 meV/atom. Its energy is -5.1788 eV/atom.

It has space group I4/m (No. 87), with a = 9.790 Å, b = 9.790 Å, c = 6.159 Å, α = 90.00°, β = 90.00° and γ = 90.00°. The inequivalent atoms are Dy at (0.000, 0.000, 0.000), Dy at (0.100, 0.291, 0.500), Sn at (0.000, 0.000, 0.500) and Te at (0.097, 0.303, 0.000).



# 2
Compound: DySnTe3
Source: Alexandria via LeMat-Bulk
Functional: GGA-PBE
Structure: relaxed

The spin magnetization is 0.00 μB/f.u. As for the energy relative to the elements, uncorrected: -761 meV/atom. Its energy is -4.3668 eV/atom.

It has space group C2/m (No. 12), with a = 18.709 Å, b = 4.570 Å, c = 8.208 Å, α = 90.00°, β = 104.51° and γ = 90.00°. The inequivalent atoms are Dy at (0.219, 0.000, 0.248), Sn at (0.046, 0.500, 0.697), Te at (0.037, 0.000, 0.176), Te at (0.168, 0.500, 0.993) and Te at (0.170, 0.000, 0.580).



# 3
Compound: Dy4SnTe3
Source: Alexandria via LeMat-Bulk
Functional: GGA-PBE
Structure: relaxed

The spin magnetization is 0.00 μB/f.u. As for the energy relative to the elements, uncorrected: -1196 meV/atom. Its energy is -5.1757 eV/atom.

It has space group P2/c (No. 13), with a = 7.577 Å, b = 8.778 Å, c = 7.576 Å, α = 90.00°, β = 109.62° and γ = 90.00°. The inequivalent atoms are Dy at (0.240, 0.120, 0.001), Dy at (0.243, 0.366, 0.491), Sn at (0.000, 0.124, 0.250), Te at (0.000, 0.376, 0.750), Te at (0.500, 0.127, 0.750) and Te at (0.500, 0.379, 0.250).



# 4
Compound: DySnTe4
Source: Alexandria via LeMat-Bulk
Functional: GGA-PBE
Structure: relaxed

The spin magnetization is 0.00 μB/f.u. As for the energy relative to the elements, uncorrected: -468 meV/atom. Its energy is -3.9968 eV/atom.

It has space group Cmcm (No. 63), with a = 10.629 Å, b = 8.249 Å, c = 10.197 Å, α = 90.00°, β = 90.00° and γ = 90.00°. The inequivalent atoms are Dy at (0.000, 0.116, 0.250), Sn at (0.000, 0.433, 0.750), Te at (0.000, 0.180, 0.557) and Te at (0.215, 0.377, 0.250).



# 5
Compound: Dy2SnTe
Source: Alexandria via LeMat-Bulk
Functional: GGA-PBE
Structure: relaxed

The distance to the lowest polymorph of the same formula is 0.019 eV per atom. The spin magnetization is 0.00 μB/f.u. As for the energy relative to the elements, uncorrected: -1040 meV/atom. Its energy is -5.1277 eV/atom.

It has space group R-3m (No. 166, hexagonal axes), with a = 4.3847 Å, b = 4.3847 Å, c = 21.6263 Å, α = 90.00°, β = 90.00° and γ = 120.00°. The inequivalent atoms are Dy at (0.0000, 0.0000, 0.2457), Sn at (0.0000, 0.0000, 0.5000) and Te at (0.0000, 0.0000, 0.0000).



# 6
Compound: Dy4SnTe
Source: Alexandria via LeMat-Bulk
Functional: GGA-PBE
Structure: relaxed

The spin magnetization is 0.00 μB/f.u. As for the energy relative to the elements, uncorrected: -466 meV/atom. Its energy is -4.7247 eV/atom.

It has space group P-1 (No. 2), with a = 6.387 Å, b = 7.441 Å, c = 8.957 Å, α = 76.18°, β = 69.14° and γ = 89.95°. The inequivalent atoms are Dy at (0.023, 0.050, 0.154), Dy at (0.178, 0.450, 0.846), Dy at (0.266, 0.371, 0.276), Dy at (0.458, 0.871, 0.276), Sn at (0.344, 0.750, 0.000), Te at (0.000, 0.000, 0.500) and Te at (0.500, 0.500, 0.500).